First-principles (PBE) data for an optimized crystal structure of SnHgSO, as listed in OQMD via LeMat-Bulk.

Values from the calculation:
Energy   -3.64 eV/atom

Cell: 4.1785 4.1785 9.8313 Å, 90.00 90.00 90.00°
Positions (direct):
Sn  0.2500  0.2500  0.2102
Sn  0.7500  0.7500  0.7898
Hg  0.2500  0.7500  0.5000
Hg  0.7500  0.2500  0.5000
S  0.2500  0.2500  0.8387
S  0.7500  0.7500  0.1613
O  0.2500  0.2500  0.0002
O  0.7500  0.7500  0.9998

***

First-principles (PBE) data for an optimized crystal structure of SnHgSO, as listed in OQMD via LeMat-Bulk.

Values from the calculation:
Energy   -3.57 eV/atom

Cell: 4.8882 4.8882 7.7667 Å, 90.00 90.00 90.00°
Positions (direct):
Sn  0.2500  0.2500  0.1291
Sn  0.7500  0.7500  0.8709
Hg  0.2500  0.2500  0.6651
Hg  0.7500  0.7500  0.3349
S  0.2500  0.7500  0.0000
S  0.7500  0.2500  0.0000
O  0.2500  0.2500  0.3752
O  0.7500  0.7500  0.6248

***

First-principles (PBE) data for an optimized crystal structure of SnHgSO, as listed in OQMD via LeMat-Bulk.

Values from the calculation:
Energy   -3.81 eV/atom

Cell: 6.8166 13.7314 7.1751 Å, 90.00 90.00 90.00°
Positions (direct):
Sn  0.1362  0.2392  0.1290
Sn  0.1362  0.2608  0.6290
Sn  0.3638  0.7392  0.1290
Sn  0.3638  0.7608  0.6290
Sn  0.6362  0.2392  0.3710
Sn  0.6362  0.2608  0.8710
Sn  0.8638  0.7392  0.3710
Sn  0.8638  0.7608  0.8710
Hg  0.2290  0.0469  0.0827
Hg  0.2290  0.4531  0.5827
Hg  0.2710  0.5469  0.0827
Hg  0.2710  0.9531  0.5827
Hg  0.7290  0.0469  0.4173
Hg  0.7290  0.4531  0.9173
Hg  0.7710  0.5469  0.4173
Hg  0.7710  0.9531  0.9173
S  0.0463  0.0861  0.6890
S  0.0463  0.4139  0.1890
S  0.4537  0.5861  0.6890
S  0.4537  0.9139  0.1890
S  0.5463  0.0861  0.8110
S  0.5463  0.4139  0.3110
S  0.9537  0.5861  0.8110
S  0.9537  0.9139  0.3110
O  0.1924  0.7238  0.3874
O  0.1924  0.7762  0.8874
O  0.3076  0.2238  0.3874
O  0.3076  0.2762  0.8874
O  0.6924  0.7238  0.1126
O  0.6924  0.7762  0.6126
O  0.8076  0.2238  0.1126
O  0.8076  0.2762  0.6126

***

First-principles (PBE) data for an optimized crystal structure of SnHgSO, as listed in OQMD via LeMat-Bulk.

Values from the calculation:
Energy   -3.76 eV/atom

Cell: 4.3702 4.3702 8.6215 Å, 90.00 90.00 90.00°
Positions (direct):
Sn  0.2500  0.2500  0.0692
Sn  0.7500  0.7500  0.9308
Hg  0.2500  0.2500  0.6820
Hg  0.7500  0.7500  0.3180
S  0.2500  0.2500  0.3495
S  0.7500  0.7500  0.6505
O  0.2500  0.7500  0.0000
O  0.7500  0.2500  0.0000

***

First-principles (PBE) data for an optimized crystal structure of SnHgSO, as listed in OQMD via LeMat-Bulk.

Values from the calculation:
Energy   -3.49 eV/atom

Cell: 4.7172 4.7172 9.0197 Å, 90.00 90.00 90.00°
Positions (direct):
Sn  0.2500  0.7500  0.0000
Sn  0.7500  0.2500  0.0000
Hg  0.2500  0.2500  0.3246
Hg  0.7500  0.7500  0.6754
S  0.2500  0.2500  0.8091
S  0.7500  0.7500  0.1909
O  0.2500  0.2500  0.6412
O  0.7500  0.7500  0.3588

***

First-principles (PBE) data for an optimized crystal structure of SnHgSO, as listed in OQMD via LeMat-Bulk.

Values from the calculation:
Energy   -3.81 eV/atom

Cell: 7.4530 7.4530 6.8913 Å, 90.00 90.00 150.14°
Positions (direct):
Sn  0.0670  0.9330  0.7500
Sn  0.9330  0.0670  0.2500
Hg  0.3528  0.6472  0.7500
Hg  0.6472  0.3528  0.2500
S  0.3275  0.6725  0.2500
S  0.6725  0.3275  0.7500
O  0.0000  0.0000  0.0000
O  0.0000  0.0000  0.5000

***

First-principles (PBE) data for an optimized crystal structure of SnHgSO, as listed in OQMD via LeMat-Bulk.

Values from the calculation:
Energy   -3.76 eV/atom

Cell: 6.0557 9.7878 5.9719 Å, 90.00 90.00 90.00°
Positions (direct):
Sn  0.0132  0.1726  0.0000
Sn  0.4868  0.1726  0.5000
Sn  0.5132  0.8274  0.0000
Sn  0.9868  0.8274  0.5000
Hg  0.0209  0.5915  0.9938
Hg  0.4791  0.5915  0.4938
Hg  0.5209  0.4085  0.9938
Hg  0.9791  0.4085  0.4938
S  0.0361  0.1676  0.5250
S  0.4639  0.1676  0.0250
S  0.5361  0.8324  0.5250
S  0.9639  0.8324  0.0250
O  0.0373  0.6184  0.5314
O  0.4627  0.6184  0.0314
O  0.5373  0.3816  0.5314
O  0.9627  0.3816  0.0314

***

First-principles (PBE) data for an optimized crystal structure of SnHgSO, as listed in OQMD via LeMat-Bulk.

Values from the calculation:
Energy   -3.80 eV/atom

Cell: 7.7803 7.7803 6.0556 Å, 90.00 90.00 151.59°
Positions (direct):
Sn  0.1638  0.8362  0.5000
Sn  0.8362  0.1638  0.0000
Hg  0.4403  0.5597  0.5074
Hg  0.5597  0.4403  0.0074
S  0.1687  0.8313  0.9565
S  0.8313  0.1687  0.4565
O  0.4143  0.5857  0.9851
O  0.5857  0.4143  0.4851

***

First-principles (PBE) data for an optimized crystal structure of SnHgSO, as listed in OQMD via LeMat-Bulk.

Values from the calculation:
Energy   -3.86 eV/atom

Cell: 6.2407 3.8679 16.6804 Å, 90.00 90.00 90.00°
Positions (direct):
Sn  0.0799  0.2500  0.1901
Sn  0.4201  0.7500  0.6901
Sn  0.5799  0.2500  0.3099
Sn  0.9201  0.7500  0.8099
Hg  0.1686  0.7500  0.4580
Hg  0.3314  0.2500  0.9580
Hg  0.6686  0.7500  0.0420
Hg  0.8314  0.2500  0.5420
S  0.1712  0.7500  0.1071
S  0.3288  0.2500  0.6071
S  0.6712  0.7500  0.3929
S  0.8288  0.2500  0.8929
O  0.2327  0.7500  0.7870
O  0.2673  0.2500  0.2870
O  0.7327  0.7500  0.7130
O  0.7673  0.2500  0.2130

***

First-principles (PBE) data for an optimized crystal structure of SnHgSO, as listed in OQMD via LeMat-Bulk.

Values from the calculation:
Energy   -3.88 eV/atom

Cell: 7.8147 7.4660 6.1847 Å, 90.00 90.00 90.00°
Positions (direct):
Sn  0.1201  0.1212  0.0000
Sn  0.3799  0.1212  0.5000
Sn  0.6201  0.8788  0.0000
Sn  0.8799  0.8788  0.5000
Hg  0.0573  0.6430  0.0682
Hg  0.4427  0.6430  0.5682
Hg  0.5573  0.3570  0.0682
Hg  0.9427  0.3570  0.5682
S  0.1032  0.6378  0.6557
S  0.3968  0.6378  0.1557
S  0.6032  0.3622  0.6557
S  0.8968  0.3622  0.1557
O  0.0283  0.9234  0.2123
O  0.4717  0.9234  0.7123
O  0.5283  0.0766  0.2123
O  0.9717  0.0766  0.7123

***

First-principles (PBE) data for an optimized crystal structure of SnHgSO, as listed in OQMD via LeMat-Bulk.

Values from the calculation:
Energy   -3.79 eV/atom

Cell: 6.0544 3.8208 15.0759 Å, 90.00 90.00 90.00°
Positions (direct):
Sn  0.2322  0.2500  0.0871
Sn  0.2678  0.7500  0.5871
Sn  0.7322  0.2500  0.4129
Sn  0.7678  0.7500  0.9129
Hg  0.2342  0.7500  0.3106
Hg  0.2658  0.2500  0.8106
Hg  0.7342  0.7500  0.1894
Hg  0.7658  0.2500  0.6894
S  0.2357  0.7500  0.9204
S  0.2643  0.2500  0.4204
S  0.7357  0.7500  0.5796
S  0.7643  0.2500  0.0796
O  0.2349  0.7500  0.1655
O  0.2651  0.2500  0.6655
O  0.7349  0.7500  0.3345
O  0.7651  0.2500  0.8345

***

First-principles (PBE) data for an optimized crystal structure of SnHgSO, as listed in OQMD via LeMat-Bulk.

Values from the calculation:
Energy   -3.53 eV/atom

Cell: 4.9964 4.9964 7.6032 Å, 90.00 90.00 90.00°
Positions (direct):
Sn  0.2500  0.2500  0.1734
Sn  0.7500  0.7500  0.8266
Hg  0.2500  0.2500  0.6248
Hg  0.7500  0.7500  0.3752
S  0.2500  0.7500  0.5000
S  0.7500  0.2500  0.5000
O  0.2500  0.2500  0.9188
O  0.7500  0.7500  0.0812

***

> energy of number 5 (SnHgSO)?

-3.49 eV/atom